# Ho3Mg3ZnInAg | OQMD via LeMat-Bulk | PBE | optimized geometry
data_Ho3Mg3ZnInAg
_chemical_formula_sum 'Ho3 Mg3 Zn1 In1 Ag1'
_cell_length_a 7.688
_cell_length_b 7.688
_cell_length_c 4.173
_cell_angle_alpha 90.00
_cell_angle_beta 90.00
_cell_angle_gamma 120.00
_symmetry_space_group_name_H-M 'P 1'
_symmetry_Int_Tables_number 1
loop_
_symmetry_equiv_pos_as_xyz
'x,y,z'
loop_
_atom_site_label
_atom_site_fract_x
_atom_site_fract_y
_atom_site_fract_z
Zn1 0.333 0.667 0.000
Ho1 0.579 0.595 0.500
Ho2 0.405 0.983 0.500
Mg1 0.752 0.997 0.000
Ag1 0.000 0.000 0.500
Ho3 0.017 0.421 0.500
Mg2 0.245 0.248 0.000
In1 0.667 0.333 0.000
Mg3 0.003 0.755 0.000
# Magnetic moment ... 0.0 μB per cell
# Space group ... No. 174
# VASP energy ... -3.1174 eV/atom